A relaxed structure of Sm3Dy2Ag2. Source: Alexandria, functional PBE.

POSCAR file:
```
Sm3Dy2Ag2
1.0
0.4621 -4.8028 0.4009
-0.2776 -0.3128 -3.4280
11.8092 -1.3735 -0.8309
Sm Dy Ag
3 2 2
Direct
0.8613 0.0000 0.2774 Sm
0.0000 0.0000 0.0000 Sm
0.1387 0.0000 0.7226 Sm
0.7083 0.5000 0.5833 Dy
0.2917 0.5000 0.4167 Dy
0.5702 0.5000 0.8595 Ag
0.4298 0.5000 0.1405 Ag
```

Values from the calculation:
Density of states at the Fermi level in states/eV/f.u.: 8.6
Energy above the most stable polymorph in this dataset in kJ/mol of formula units: 111.3
ΔH_f (0 K) in kJ per mole of atoms: 4.5
E in eV per atom: -4.105
Calculated volume in Å³ per atom: 27.87



A relaxed structure of Sm2Dy3Ag3. Source: Alexandria, functional PBE.

POSCAR file:
```
Sm2Dy3Ag3
1.0
-2.2016 2.9165 0.6706
-3.4315 -1.7652 -3.5887
-2.3112 -6.2113 9.1343
Sm Dy Ag
2 3 3
Direct
0.2686 0.7686 0.5373 Sm
0.7314 0.2314 0.4627 Sm
0.3813 0.3813 0.7626 Dy
0.6187 0.6187 0.2374 Dy
0.5000 0.0000 0.0000 Dy
0.8856 0.8856 0.7711 Ag
0.0000 0.5000 0.0000 Ag
0.1144 0.1144 0.2289 Ag
```

Values from the calculation:
Density of states at the Fermi level in states/eV/f.u.: 7.0
ΔH_f (0 K) in kJ per mole of atoms: -19.5
E in eV per atom: -4.177
Calculated volume in Å³ per atom: 26.47



A relaxed structure of Sm12Dy3Ag5. Source: Alexandria, functional PBE.

POSCAR file:
```
Sm12Dy3Ag5
1.0
15.6810 0.0000 0.0000
-5.2270 14.7842 0.0000
-5.2270 -7.3921 12.8035
Dy Ag Sm
12 20 48
Direct
0.7500 0.3750 0.1250 Dy
0.8750 0.7500 0.1250 Dy
0.3750 0.7500 0.6250 Dy
0.2500 0.1250 0.3750 Dy
0.8750 0.1250 0.2500 Dy
0.3750 0.6250 0.2500 Dy
0.6250 0.3750 0.7500 Dy
0.1250 0.8750 0.7500 Dy
0.7500 0.8750 0.6250 Dy
0.6250 0.2500 0.3750 Dy
0.1250 0.2500 0.8750 Dy
0.2500 0.6250 0.8750 Dy
0.1250 0.3750 0.2500 Ag
0.0000 0.5000 0.0000 Ag
0.0000 0.0000 0.0000 Ag
0.3750 0.2500 0.1250 Ag
0.5000 0.0000 0.5000 Ag
0.5000 0.5000 0.0000 Ag
0.1250 0.7500 0.3750 Ag
0.7500 0.1250 0.8750 Ag
0.7500 0.6250 0.3750 Ag
0.3750 0.1250 0.7500 Ag
0.6250 0.8750 0.2500 Ag
0.5000 0.5000 0.5000 Ag
0.5000 0.0000 0.0000 Ag
0.0000 0.0000 0.5000 Ag
0.2500 0.3750 0.6250 Ag
0.2500 0.8750 0.1250 Ag
0.0000 0.5000 0.5000 Ag
0.8750 0.2500 0.6250 Ag
0.6250 0.7500 0.8750 Ag
0.8750 0.6250 0.7500 Ag
0.7155 0.1204 0.0443 Sm
0.3289 0.5443 0.4239 Sm
0.9557 0.3796 0.2845 Sm
0.5443 0.2155 0.1204 Sm
0.5951 0.7155 0.6711 Sm
0.9557 0.5761 0.1711 Sm
0.3289 0.7845 0.4049 Sm
0.0761 0.9049 0.1204 Sm
0.5761 0.9557 0.6711 Sm
0.7155 0.5951 0.1711 Sm
0.7845 0.4557 0.3796 Sm
0.8289 0.9239 0.0443 Sm
0.1204 0.7155 0.5443 Sm
0.3796 0.4239 0.0951 Sm
0.0951 0.9239 0.3796 Sm
0.4049 0.1204 0.5761 Sm
0.0951 0.1711 0.2155 Sm
0.4557 0.6711 0.0761 Sm
0.8289 0.9049 0.2845 Sm
0.1204 0.4049 0.0761 Sm
0.3796 0.9557 0.7845 Sm
0.5761 0.6204 0.4049 Sm
0.9239 0.8289 0.5443 Sm
0.7845 0.3289 0.9049 Sm
0.4239 0.3796 0.5951 Sm
0.0761 0.1711 0.4557 Sm
0.2155 0.6711 0.0951 Sm
0.1711 0.0951 0.7155 Sm
0.6204 0.0443 0.2155 Sm
0.8796 0.5951 0.9239 Sm
0.5443 0.3289 0.9239 Sm
0.5951 0.8796 0.4239 Sm
0.9049 0.8289 0.7845 Sm
0.9049 0.0761 0.6204 Sm
0.8796 0.2845 0.4557 Sm
0.1711 0.0761 0.9557 Sm
0.6204 0.5761 0.9049 Sm
0.4239 0.0443 0.3289 Sm
0.2845 0.4049 0.8289 Sm
0.2155 0.5443 0.6204 Sm
0.9239 0.0951 0.8796 Sm
0.6711 0.2155 0.5951 Sm
0.4557 0.7845 0.8796 Sm
0.0443 0.4239 0.8289 Sm
0.4049 0.2845 0.3289 Sm
0.0443 0.6204 0.7155 Sm
0.6711 0.4557 0.5761 Sm
0.2845 0.8796 0.9557 Sm
```

Values from the calculation:
Density of states at the Fermi level in states/eV/f.u.: 28.1
ΔH_f (0 K) in kJ per mole of atoms: 46.0
E in eV per atom: -3.758
Calculated volume in Å³ per atom: 37.10



Which of these has the highest E?
Sm12Dy3Ag5